VASP calculation (GGA-PBE) on Er12ZnIn3 after structural relaxation.

Formation enthalpy at 0 K   -0.202 eV per atom
Spin magnetization   0.00 μB/f.u.

abc: 4.7834 4.7834 19.0935
angles: 90.00 90.00 90.00
Space group P4/mmm (No. 123)
One atom of each set of equivalent atoms:
1 Er 0.0000 0.0000 0.0000 [1 per cell]
2 Er 0.0000 0.0000 0.2471 [2 per cell]
3 Er 0.0000 0.0000 0.5000 [1 per cell]
4 Er 0.0000 0.5000 0.1203 [4 per cell]
5 Er 0.0000 0.5000 0.3742 [4 per cell]
6 Zn 0.5000 0.5000 0.0000 [1 per cell]
7 In 0.5000 0.5000 0.2474 [2 per cell]
8 In 0.5000 0.5000 0.5000 [1 per cell]